Sm2YHo GGA-PBE relaxed; polymorph energy (0 for the lowest one) = 0.108 eV per atom; calculated volume = 33.064 Å³/atom; DOS at the Fermi energy = 2.165 states/eV per atom; formation energy from the elements = 2.83 kcal/mol of atoms
1.0
8.088 0.000 0.000
0.000 8.088 0.000
0.000 0.000 8.088
Sm Y Ho
8 4 4
Cartesian
2.022 2.022 2.022 Sm
2.022 2.022 6.066 Sm
2.022 6.066 2.022 Sm
2.022 6.066 6.066 Sm
6.066 2.022 2.022 Sm
6.066 2.022 6.066 Sm
6.066 6.066 2.022 Sm
6.066 6.066 6.066 Sm
0.000 0.000 0.000 Y
0.000 4.044 4.044 Y
4.044 0.000 4.044 Y
4.044 4.044 0.000 Y
0.000 0.000 4.044 Ho
0.000 4.044 0.000 Ho
4.044 0.000 0.000 Ho
4.044 4.044 4.044 Ho



Cr5GaRu6 GGA-PBE relaxed; calculated volume = 13.385 Å³/atom; DOS at the Fermi energy = 1.050 states/eV per atom; formation energy from the elements = 1.01 kcal/mol of atoms
1.0
4.286 0.000 0.000
0.000 5.867 0.000
-2.124 0.000 6.387
Cr Ga Ru
5 1 6
Cartesian
0.000 0.000 0.000 Cr
0.192 0.000 4.243 Cr
0.199 2.934 4.230 Cr
1.963 2.934 2.158 Cr
1.970 0.000 2.144 Cr
0.000 2.934 0.000 Ga
-0.138 1.458 2.141 Ru
-0.138 4.409 2.141 Ru
2.143 1.453 0.000 Ru
2.143 4.414 0.000 Ru
2.301 1.458 4.247 Ru
2.301 4.409 4.247 Ru



TiPdCl2 GGA-PBE relaxed; polymorph energy (0 for the lowest one) = 0.343 eV per atom; calculated volume = 22.907 Å³/atom; ΔE_f (raw) = -364 meV per atom; DOS at the Fermi energy = 0.265 states/eV per atom
1.0
5.702 0.000 0.000
0.000 5.702 0.000
0.000 0.000 11.274
Ti Pd Cl
4 4 8
Cartesian
0.000 0.000 0.000 Ti
0.000 2.851 2.819 Ti
2.851 0.000 8.456 Ti
2.851 2.851 5.637 Ti
0.000 0.000 5.637 Pd
0.000 2.851 8.456 Pd
2.851 0.000 2.819 Pd
2.851 2.851 0.000 Pd
1.311 1.425 1.409 Cl
1.425 4.162 4.228 Cl
1.425 4.390 9.865 Cl
1.540 1.425 7.046 Cl
4.162 4.276 7.046 Cl
4.276 1.311 9.865 Cl
4.276 1.540 4.228 Cl
4.390 4.276 1.409 Cl



Ca4SnPt GGA-PBE relaxed; calculated volume = 30.229 Å³/atom; DOS at the Fermi energy = 0.643 states/eV per atom; formation energy from the elements = -15.06 kcal/mol of atoms
1.0
4.621 -7.084 0.000
4.621 7.084 0.000
-2.320 0.000 5.541
Ca Sn Pt
8 2 2
Cartesian
1.370 4.679 5.172 Ca
1.140 0.938 3.700 Ca
4.391 4.679 3.139 Ca
2.301 -0.938 0.930 Ca
4.620 0.938 4.611 Ca
2.530 -4.679 2.402 Ca
5.781 -0.938 1.841 Ca
5.551 -4.679 0.369 Ca
4.041 1.915 1.385 Sn
2.880 -1.915 4.156 Sn
2.880 7.066 4.156 Pt
4.041 -7.066 1.385 Pt